Record 1
VASP calculation (PBE) on a relaxed structure of CaBe4Br.

Cell lengths 5.1600, 5.1600, 5.1600 Å; angles 60.00, 60.00, 60.00 degrees
Last column: nearest neighbours and their distance in Å.
Fractional coordinates of all 6 atoms:
Ca: 0.0000 0.0000 0.0000  12 Be 3.00, 4 Br 3.16
Be: 0.3585 0.3585 0.3585  3 Be 2.24
Be: 0.3585 0.3585 0.9246  3 Be 2.24
Be: 0.3585 0.9246 0.3585  3 Be 2.24
Be: 0.9246 0.3585 0.3585  3 Be 2.24
Br: 0.7500 0.7500 0.7500  12 Be 3.07, 4 Ca 3.16

Summary:
M_tot, μB per atom: 0.000
DFT total energy, eV per cell: -15.03
E_form (uncorrected), meV per atom: 591.2
DOS(E_F), states/eV/f.u.: 3.74
ρ, g/cm3: 2.667

Record 2
VASP calculation (PBE) on a relaxed structure of Nd3SmY2Se6.

Cell lengths 7.2086, 7.2086, 7.2766 Å; angles 99.48, 99.48, 120.26 degrees
Last column: nearest neighbours and their distance in Å.
Fractional coordinates of all 12 atoms:
Nd: 0.0000 0.0000 0.0000  6 Se 2.97-3.01
Nd: 0.3367 0.6633 0.0000  6 Se 2.99-3.00
Nd: 0.6633 0.3367 0.0000  6 Se 2.99-3.00
Sm: 0.5000 0.5000 0.5000  6 Se 2.93-2.95
Y: 0.1663 0.8337 0.5000  6 Se 2.88-2.90
Y: 0.8337 0.1663 0.5000  6 Se 2.88-2.90
Se: 0.0813 0.4201 0.2596  2 Y 2.90, 1 Sm 2.95, 3 Nd 2.99-3.01
Se: 0.2406 0.2406 0.7377  2 Y 2.88, 1 Sm 2.93, 3 Nd 2.97-2.99
Se: 0.4201 0.0813 0.2596  2 Y 2.90, 1 Sm 2.95, 3 Nd 2.99-3.01
Se: 0.5799 0.9187 0.7404  2 Y 2.90, 1 Sm 2.95, 3 Nd 2.99-3.01
Se: 0.7594 0.7594 0.2623  2 Y 2.88, 1 Sm 2.93, 3 Nd 2.97-2.99
Se: 0.9187 0.5799 0.7404  2 Y 2.90, 1 Sm 2.95, 3 Nd 2.99-3.01

Summary:
M_tot, μB per atom: 0.000
DFT total energy, eV per cell: -74.64
E_form (uncorrected), meV per atom: -1815.0
DOS(E_F), states/eV/f.u.: 5.75
ρ, g/cm3: 6.651

Record 3
VASP calculation (PBE) on a relaxed structure of CaCu2SbS4.

Cell lengths 5.8676, 5.8676, 10.9410 Å; angles 90.00, 90.00, 90.00 degrees
Last column: nearest neighbours and their distance in Å.
Fractional coordinates of all 16 atoms:
Ca: 0.0000 0.0000 0.0000  4 S 2.73
Ca: 0.5000 0.5000 0.5000  4 S 2.73
Cu: 0.0000 0.5000 0.2500  4 S 2.35
Cu: 0.0000 0.5000 0.7500  4 S 2.35
Cu: 0.5000 0.0000 0.2500  4 S 2.35
Cu: 0.5000 0.0000 0.7500  4 S 2.35
Sb: 0.0000 0.0000 0.5000  4 S 2.57
Sb: 0.5000 0.5000 0.0000  4 S 2.57
S: 0.2375 0.2375 0.6505  2 Cu 2.35, 1 Sb 2.57
S: 0.2375 0.7625 0.3495  2 Cu 2.35, 1 Sb 2.57
S: 0.2625 0.2625 0.1505  2 Cu 2.35, 1 Sb 2.57
S: 0.2625 0.7375 0.8495  2 Cu 2.35, 1 Sb 2.57
S: 0.7375 0.2625 0.8495  2 Cu 2.35, 1 Sb 2.57
S: 0.7375 0.7375 0.1505  2 Cu 2.35, 1 Sb 2.57
S: 0.7625 0.2375 0.3495  2 Cu 2.35, 1 Sb 2.57
S: 0.7625 0.7625 0.6505  2 Cu 2.35, 1 Sb 2.57

Summary:
M_tot, μB per atom: 0.000
DFT total energy, eV per cell: -70.82
E_form (uncorrected), meV per atom: -572.9
DOS(E_F), states/eV/f.u.: 3.96
ρ, g/cm3: 3.678

Record 4
VASP calculation (PBE) on a relaxed structure of RbAs3O.

Cell lengths 4.7060, 4.7060, 4.7060 Å; angles 90.00, 90.00, 90.00 degrees
Last column: nearest neighbours and their distance in Å.
Fractional coordinates of all 5 atoms:
Rb: 0.0000 0.0000 0.0000  12 As 3.33
As: 0.0000 0.5000 0.5000  2 O 2.35
As: 0.5000 0.0000 0.5000  2 O 2.35
As: 0.5000 0.5000 0.0000  2 O 2.35
O: 0.5000 0.5000 0.5000  6 As 2.35

Summary:
M_tot, μB per atom: 0.000
DFT total energy, eV per cell: -18.39
E_form (uncorrected), meV per atom: 296.8
DOS(E_F), states/eV/f.u.: 5.64
ρ, g/cm3: 5.198